Entry 1:
Entry from the Alexandria database: a relaxed structure of LaInSeN2 (PBE).

abc: 4.364 4.364 6.466
angles: 90.00 90.00 90.00
Atoms (fractional coordinates):
N: 0.000 0.500 0.000
N: 0.500 0.000 0.000
In: 0.500 0.500 0.500
Se: 0.000 0.000 0.500
La: 0.000 0.000 0.000

Computed properties:
energy relative to the elements, uncorrected	0.480	eV per atom

Entry 2:
Entry from the Alexandria database: a relaxed structure of Tl2TcOs (PBE).

abc: 3.320 3.319 6.688
angles: 90.00 90.00 90.00
Atoms (fractional coordinates):
Os: 0.500 0.500 0.250
Tc: 0.500 0.500 0.750
Tl: 0.000 0.000 0.004
Tl: 0.000 0.000 0.496

Computed properties:
energy of formation from the pure elements	1.068	eV per atom
energy relative to the lowest polymorph listed for this composition	627.1	meV per atom

Entry 3:
Entry from the Alexandria database: a relaxed structure of BaHg2Ru (PBE).

abc: 5.703 5.703 5.703
angles: 131.81 131.81 70.53
Atoms (fractional coordinates):
Ba: 0.750 0.250 0.500
Hg: 0.000 0.000 0.000
Hg: 0.500 0.500 0.000
Ru: 0.250 0.750 0.500

Computed properties:
energy of formation from the pure elements	0.366	eV per atom

Entry 4:
Entry from the Alexandria database: a relaxed structure of Tl2AsOs (PBE).

abc: 3.156 3.156 8.594
angles: 90.00 90.00 90.00
Atoms (fractional coordinates):
Tl: 0.000 0.000 0.968
Tl: 0.000 0.000 0.532
Os: 0.500 0.500 0.750
As: 0.500 0.500 0.250

Computed properties:
energy of formation from the pure elements	0.920	eV per atom
energy relative to the lowest polymorph listed for this composition	661.8	meV per atom

Entry 5:
Entry from the Alexandria database: a relaxed structure of TlGaSN2 (PBE).

abc: 4.392 4.392 5.591
angles: 90.00 90.00 90.00
Atoms (fractional coordinates):
Tl: 0.000 0.000 0.000
S: 0.000 0.000 0.500
Ga: 0.500 0.500 0.500
N: 0.000 0.500 0.000
N: 0.500 0.000 0.000

Computed properties:
energy relative to the lowest polymorph listed for this composition	645.7	meV per atom
energy relative to the elements, uncorrected	1.693	eV per atom

Entry 6:
Entry from the Alexandria database: a relaxed structure of AcCdNi (PBE).

abc: 4.872 4.872 4.872
angles: 60.00 60.00 60.00
Atoms (fractional coordinates):
Ni: 0.250 0.250 0.250
Ac: 0.000 0.000 0.000
Cd: 0.500 0.500 0.500

Computed properties:
energy of formation from the pure elements	-0.159	eV per atom
energy relative to the lowest polymorph listed for this composition	143.9	meV per atom

Entry 7:
Entry from the Alexandria database: a relaxed structure of Ce2FeWN5 (PBE).

abc: 3.200 6.688 10.273
angles: 90.00 90.00 103.84
Atoms (fractional coordinates):
Ce: 0.858 0.716 0.812
Ce: 0.107 0.215 0.684
Ce: 0.142 0.284 0.312
Ce: 0.893 0.785 0.184
Fe: 0.537 0.074 0.953
Fe: 0.463 0.926 0.453
W: 0.803 0.607 0.514
W: 0.197 0.393 0.014
N: 0.360 0.721 0.000
N: 0.678 0.357 0.875
N: 0.491 0.982 0.780
N: 0.286 0.571 0.650
N: 0.952 0.904 0.558
N: 0.640 0.279 0.500
N: 0.322 0.643 0.375
N: 0.509 0.018 0.280
N: 0.714 0.429 0.150
N: 0.048 0.096 0.058

Computed properties:
energy relative to the elements, uncorrected	-0.849	eV per atom

Entry 8:
Entry from the Alexandria database: a relaxed structure of K2InAu (PBE).

abc: 5.956 5.956 4.037
angles: 90.02 90.02 110.17
Atoms (fractional coordinates):
Au: 0.500 0.000 0.500
In: 0.000 0.500 0.500
K: 0.000 0.000 0.000
K: 0.500 0.500 0.000

Computed properties:
energy of formation from the pure elements	-0.046	eV per atom